A geometry-optimized YWIO2 structure, computed with GGA+U.

Cell: 4.148 4.148 5.901 Å, 90.00 90.00 90.00°
Atoms (fractional coordinates):
I  0.000  0.000  0.500
Y  0.500  0.500  0.500
O  0.000  0.500  0.000
O  0.500  0.000  0.000
W  0.000  0.000  0.000

Output
Magnetization (μB/cell): 2.6
Crystal system: tetragonal
Raw total energy (eV per cell): -29.27
Symmetry: P4/mmm